1.
Here is CaTaB2 after structural relaxation from Alexandria via LeMat-Bulk. Energies are from PBE-GGA.

Unit cell a=4.2593 b=4.2593 c=4.2593 alpha=60.00 beta=60.00 gamma=60.00
Atoms (fractional coordinates):
Ca: 0.0000 0.0000 0.0000
B: 0.2500 0.2500 0.2500
B: 0.7500 0.7500 0.7500
Ta: 0.5000 0.5000 0.5000

DOS(E_F) (states/eV/cell): 3.973
V (Å³ per cell): 54.6
Energy of formation (eV/f.u.): 3.20

---

2.
Here is CaTa2B after structural relaxation from Alexandria via LeMat-Bulk. Energies are from PBE-GGA.

Unit cell a=6.6139 b=6.6139 c=6.6144 alpha=60.00 beta=60.00 gamma=90.00
Atoms (fractional coordinates):
Ca: 0.0000 0.0000 0.0000
Ca: 0.7500 0.2500 0.5000
B: 0.5000 0.5000 0.0000
B: 0.2500 0.7500 0.5000
Ta: 0.3747 0.1250 0.2500
Ta: 0.3753 0.6250 0.2500
Ta: 0.3750 0.6253 0.7500
Ta: 0.8750 0.6247 0.7500

DOS(E_F) (states/eV/cell): 7.709
V (Å³ per cell): 204.6
Energy of formation (eV/f.u.): 4.17

---

3.
Here is CaTa3B after structural relaxation from Alexandria via LeMat-Bulk. Energies are from PBE-GGA.

Unit cell a=4.5318 b=4.5318 c=4.5318 alpha=90.00 beta=90.00 gamma=90.00
Atoms (fractional coordinates):
Ca: 0.5000 0.5000 0.5000
B: 0.0000 0.0000 0.0000
Ta: 0.0000 0.5000 0.0000
Ta: 0.0000 0.0000 0.5000
Ta: 0.5000 0.0000 0.0000

DOS(E_F) (states/eV/cell): 4.980
V (Å³ per cell): 93.1
Energy of formation (eV/f.u.): 1.93